A geometry-optimized TlZnAgPtSe structure. Source: the Alexandria database, functional PBE.

Values from the calculation:
ΔE to the lowest computed polymorph = 50 meV per atom
V = 21.88 Å³ per atom
raw formation energy = -0.12 eV/atom
density of states at the Fermi level = 0.22 states/eV per atom

Cell and atoms, written as CIF:
```
data_TlZnAgPtSe
_symmetry_space_group_name_H-M 'P 1'
_symmetry_Int_Tables_number 1
_cell_length_a 5.165
_cell_length_b 4.072
_cell_length_c 5.514
_cell_angle_alpha 90.00
_cell_angle_beta 109.39
_cell_angle_gamma 90.00
loop_
_symmetry_equiv_pos_as_xyz
'x,y,z'
loop_
_atom_site_label
_atom_site_fract_x
_atom_site_fract_y
_atom_site_fract_z
Zn1 0.499 0.000 0.529
Tl1 0.980 0.000 0.037
Se1 0.331 0.500 0.768
Ag1 0.652 0.500 0.262
Pt1 0.995 0.000 0.544
```